1.
{
  "formula": "Ce8Gd2O19",
  "functional": "PBE",
  "state": "relaxed",
  "e_form_raw_ev_per_fu": -99.67,
  "space_group": "P-4m2 (115)",
  "final_energy_ev_per_cell": -269.50,
  "m_tot_mub_per_atom": 0.4768,
  "lattice": [[3.868, 0.000, 0.000], [0.000, 3.868, 0.000], [0.000, 0.000, 27.323]],
  "species": ["Ce", "Ce", "Ce", "Ce", "Ce", "Ce", "Ce", "Ce", "Gd", "Gd", "O", "O", "O", "O", "O", "O", "O", "O", "O", "O", "O", "O", "O", "O", "O", "O", "O", "O", "O"],
  "fractional_positions": [[0.000, 0.500, 0.050], [0.000, 0.500, 0.249], [0.000, 0.500, 0.651], [0.000, 0.500, 0.850], [0.500, 0.000, 0.150], [0.500, 0.000, 0.349], [0.500, 0.000, 0.751], [0.500, 0.000, 0.950], [0.000, 0.500, 0.444], [0.500, 0.000, 0.556], [0.000, 0.000, 0.000], [0.000, 0.000, 0.100], [0.000, 0.000, 0.201], [0.000, 0.000, 0.303], [0.000, 0.000, 0.406], [0.000, 0.000, 0.594], [0.000, 0.000, 0.697], [0.000, 0.000, 0.799], [0.000, 0.000, 0.900], [0.500, 0.500, 0.000], [0.500, 0.500, 0.099], [0.500, 0.500, 0.199], [0.500, 0.500, 0.297], [0.500, 0.500, 0.395], [0.500, 0.500, 0.500], [0.500, 0.500, 0.605], [0.500, 0.500, 0.703], [0.500, 0.500, 0.801], [0.500, 0.500, 0.901]]
}


2.
{
  "formula": "BaNbH",
  "functional": "PBE",
  "state": "relaxed",
  "space_group": "Pnma (62)",
  "final_energy_ev_per_cell": -58.74,
  "m_tot_mub_per_atom": 0.0000,
  "lattice": [[20.573, 0.000, 0.000], [0.000, 3.565, 0.000], [0.000, 0.000, 4.146]],
  "species": ["Ba", "Ba", "Ba", "Ba", "Nb", "Nb", "Nb", "Nb", "H", "H", "H", "H"],
  "fractional_positions": [[0.093, 0.250, 0.243], [0.407, 0.750, 0.743], [0.593, 0.250, 0.257], [0.907, 0.750, 0.757], [0.234, 0.250, 0.739], [0.266, 0.750, 0.239], [0.734, 0.250, 0.761], [0.766, 0.750, 0.261], [0.221, 0.250, 0.239], [0.279, 0.750, 0.739], [0.721, 0.250, 0.261], [0.779, 0.750, 0.761]]
}


3.
{
  "formula": "SmDy8Bi6",
  "functional": "PBE",
  "state": "relaxed",
  "space_group": "R-3 (148)",
  "formation_enthalpy_0k_ev_per_atom": -0.523,
  "final_energy_ev_per_cell": -72.66,
  "m_tot_mub_per_atom": 0.0000,
  "lattice": [[3.840, 2.217, 9.825], [-3.840, 2.217, 9.825], [0.000, -4.434, 9.825]],
  "species": ["Sm", "Dy", "Dy", "Dy", "Dy", "Dy", "Dy", "Dy", "Dy", "Bi", "Bi", "Bi", "Bi", "Bi", "Bi"],
  "fractional_positions": [[0.000, 0.000, 0.000], [0.123, 0.450, 0.791], [0.209, 0.877, 0.550], [0.333, 0.333, 0.333], [0.450, 0.791, 0.123], [0.550, 0.209, 0.877], [0.667, 0.667, 0.667], [0.791, 0.123, 0.450], [0.877, 0.550, 0.209], [0.062, 0.726, 0.401], [0.274, 0.599, 0.938], [0.401, 0.062, 0.726], [0.599, 0.938, 0.274], [0.726, 0.401, 0.062], [0.938, 0.274, 0.599]]
}


4.
{
  "formula": "ScHgIr2",
  "functional": "PBE",
  "state": "relaxed",
  "space_group": "R-3m (166)",
  "formation_enthalpy_0k_ev_per_atom": -0.083,
  "final_energy_ev_per_cell": -24.69,
  "m_tot_mub_per_atom": 0.1105,
  "lattice": [[1.496, 0.864, 9.034], [-1.496, 0.864, 9.034], [0.000, -1.727, 9.034]],
  "species": ["Sc", "Hg", "Ir", "Ir"],
  "fractional_positions": [[0.000, 0.000, 0.000], [0.500, 0.500, 0.500], [0.257, 0.257, 0.257], [0.743, 0.743, 0.743]]
}


5.
{
  "formula": "Cs4Nd3SnS8",
  "functional": "PBE",
  "state": "relaxed",
  "e_form_raw_ev_per_fu": -24.29,
  "space_group": "R-3m (166)",
  "final_energy_ev_per_cell": -79.03,
  "m_tot_mub_per_atom": 0.0000,
  "lattice": [[4.226, 2.440, 8.077], [-4.226, 2.440, 8.077], [0.000, -4.880, 8.077]],
  "species": ["Cs", "Cs", "Cs", "Cs", "Nd", "Nd", "Nd", "Sn", "S", "S", "S", "S", "S", "S", "S", "S"],
  "fractional_positions": [[0.000, 0.000, 0.000], [0.000, 0.500, 0.500], [0.500, 0.000, 0.500], [0.500, 0.500, 0.000], [0.000, 0.000, 0.500], [0.000, 0.500, 0.000], [0.500, 0.000, 0.000], [0.500, 0.500, 0.500], [0.229, 0.229, 0.229], [0.234, 0.725, 0.725], [0.275, 0.275, 0.766], [0.275, 0.766, 0.275], [0.725, 0.234, 0.725], [0.725, 0.725, 0.234], [0.766, 0.275, 0.275], [0.771, 0.771, 0.771]]
}


6.
{
  "formula": "Ac14PmHo",
  "functional": "PBE",
  "state": "relaxed",
  "space_group": "Amm2 (38)",
  "formation_enthalpy_0k_ev_per_atom": 0.028,
  "final_energy_ev_per_cell": -66.41,
  "m_tot_mub_per_atom": 0.0000,
  "lattice": [[11.210, 0.000, 0.000], [0.000, 5.574, 5.573], [0.000, -5.574, 5.573]],
  "species": ["Ac", "Ac", "Ac", "Ac", "Ac", "Ac", "Ac", "Ac", "Ac", "Ac", "Ac", "Ac", "Ac", "Ac", "Pm", "Ho"],
  "fractional_positions": [[0.000, 0.000, 0.000], [0.000, 0.500, 0.500], [0.000, 0.500, 0.999], [0.000, 0.999, 0.500], [0.256, 0.249, 0.249], [0.256, 0.249, 0.751], [0.256, 0.751, 0.249], [0.257, 0.751, 0.751], [0.500, 0.001, 0.500], [0.500, 0.500, 0.001], [0.743, 0.751, 0.751], [0.744, 0.249, 0.249], [0.744, 0.249, 0.751], [0.744, 0.751, 0.249], [0.500, 0.500, 0.500], [0.500, 0.000, 0.000]]
}


no.,Fermi-level density of states (states/eV/atom)
1,0.0000
2,0.7009
3,0.6208
4,1.3058
5,0.1234
6,1.8150